(1)
A plane-wave DFT calculation with SCAN was carried out for Sr2MnCl at its PBEsol-relaxed geometry.

The calculation puts the total energy at -1.33891 Ry per atom. The magnetization is 4.8 μB per formula unit. Its calculated volume is 135 Å³/f.u. The distance to the lowest polymorph of the same formula comes out at 0.993 eV/f.u. The calculation puts the formation energy from raw total energies at -521 meV per atom.

The space group is Immm (No. 71) and the conventional cell measures 4.144, 6.787 and 9.609 Å, with angles of 90.00, 90.00 and 90.00 degrees. The inequivalent atoms are Sr at (0.000, 0.000, 0.215), Mn at (0.000, 0.500, 0.000) and Cl at (0.000, 0.500, 0.500).

(2)
A plane-wave DFT calculation with SCAN was carried out for Mo3W at its PBEsol-relaxed geometry.

The calculation puts the total energy at -3.20371 Ry per atom. The value obtained for the formation energy is -0.003 eV/atom. The magnetization is 0.0 μB per formula unit. Its calculated volume is 61 Å³/f.u. The distance to the lowest polymorph of the same formula comes out at 0.013 eV/f.u.

The space group is P4/mmm (No. 123) and the conventional cell measures 3.132, 3.132 and 6.267 Å, with angles of 90.00, 90.00 and 90.00 degrees. The inequivalent atoms are Mo at (0.000, 0.000, 0.000), Mo at (0.500, 0.500, 0.249) and W at (0.000, 0.000, 0.500).

(3)
A plane-wave DFT calculation with SCAN was carried out for CaSi2Ir at its PBEsol-relaxed geometry.

The calculation puts the total energy at -1.84617 Ry per atom. The magnetization is 0.0 μB per formula unit. Its calculated volume is 64 Å³/f.u. The calculation puts the formation energy from raw total energies at 80 meV per atom.

The space group is I-4m2 (No. 119) and the conventional cell measures 3.952, 3.952 and 8.235 Å, with angles of 90.00, 90.00 and 90.00 degrees. The inequivalent atoms are Ca at (0.000, 0.000, 0.000), Si at (0.000, 0.000, 0.500), Si at (0.000, 0.500, 0.750) and Ir at (0.000, 0.500, 0.250).

(4)
A plane-wave DFT calculation with SCAN was carried out for LiAgW3 at its PBEsol-relaxed geometry.

The calculation puts the total energy at -3.34266 Ry per atom. The value obtained for the formation energy is 3.085 eV/atom. The magnetization is 0.0 μB per formula unit. Its calculated volume is 109 Å³/f.u.

The space group is Pm-3m (No. 221) and the conventional cell measures 4.772, 4.772 and 4.772 Å, with angles of 90.00, 90.00 and 90.00 degrees. The inequivalent atoms are Li at (0.000, 0.000, 0.000), Ag at (0.500, 0.500, 0.500) and W at (0.000, 0.500, 0.500).

(5)
A plane-wave DFT calculation with SCAN was carried out for LaBeHg at its PBEsol-relaxed geometry.

The calculation puts the total energy at -2.83904 Ry per atom. The value obtained for the formation energy is -0.086 eV/atom. The magnetization is 0.0 μB per formula unit. Its calculated volume is 62 Å³/f.u.

The space group is I4mm (No. 107) and the conventional cell measures 3.263, 3.263 and 11.590 Å, with angles of 90.00, 90.00 and 90.00 degrees. The inequivalent atoms are La at (0.000, 0.000, 0.000), Be at (0.000, 0.000, 0.314) and Hg at (0.000, 0.000, 0.711).

(6)
A plane-wave DFT calculation with SCAN was carried out for Al3Cr at its PBEsol-relaxed geometry.

The calculation puts the total energy at -0.78028 Ry per atom. The value obtained for the formation energy is -0.206 eV/atom. The magnetization is 2.5 μB per formula unit. Its calculated volume is 57 Å³/f.u.

The space group is I4/mmm (No. 139) and the conventional cell measures 3.789, 3.789 and 15.962 Å, with angles of 90.00, 90.00 and 90.00 degrees. The inequivalent atoms are Al at (0.000, 0.000, 0.124), Al at (0.000, 0.500, 0.000), Al at (0.000, 0.500, 0.250) and Cr at (0.000, 0.000, 0.376).

(7)
A plane-wave DFT calculation with SCAN was carried out for KSb2Os at its PBEsol-relaxed geometry.

The calculation puts the total energy at -2.77894 Ry per atom. The magnetization is 0.0 μB per formula unit. Its calculated volume is 86 Å³/f.u. The distance to the lowest polymorph of the same formula comes out at 3.245 eV/f.u. The calculation puts the formation energy from raw total energies at 873 meV per atom.

The space group is P4/mmm (No. 123) and the conventional cell measures 4.592, 4.592 and 4.071 Å, with angles of 90.00, 90.00 and 90.00 degrees. The inequivalent atoms are K at (0.000, 0.000, 0.000), Sb at (0.000, 0.500, 0.500) and Os at (0.500, 0.500, 0.000).

(8)
A plane-wave DFT calculation with SCAN was carried out for ZnCoTe2 at its PBEsol-relaxed geometry.

The calculation puts the total energy at -1.92021 Ry per atom. The magnetization is 1.8 μB per formula unit. Its calculated volume is 84 Å³/f.u. The calculation puts the formation energy from raw total energies at 205 meV per atom.

The space group is C2/m (No. 12) and the conventional cell measures 6.061, 7.552 and 4.147 Å, with angles of 90.00, 118.01 and 90.00 degrees. The inequivalent atoms are Zn at (0.000, 0.000, 0.000), Co at (0.000, 0.500, 0.000) and Te at (0.250, 0.250, 0.500).